# K4RbU3O12, optimized geometry, DFT PBE-GGA
# Calculated total energy (eV per atom): -7.527
# Calculated volume (A^3/atom): 17.8
# Formation energy from raw total energies (meV per atom): -2591.0
data_K4RbU3O12
_chemical_formula_sum 'K4 Rb1 U3 O12'
_cell_length_a 7.736
_cell_length_b 7.736
_cell_length_c 7.736
_cell_angle_alpha 109.47
_cell_angle_beta 109.47
_cell_angle_gamma 109.47
_symmetry_space_group_name_H-M 'P 1'
_symmetry_Int_Tables_number 1
_symmetry_space_group_name_Hall 'P 1'
loop_
_atom_site_label
_atom_site_fract_x
_atom_site_fract_y
_atom_site_fract_z
K1 0.000 0.000 0.500
K2 0.000 0.500 0.000
K3 0.500 0.000 0.000
K4 0.500 0.500 0.500
Rb1 0.000 0.000 0.000
U1 0.000 0.500 0.500
U2 0.500 0.000 0.500
U3 0.500 0.500 0.000
O1 0.000 0.289 0.289
O2 0.000 0.711 0.711
O3 0.250 0.500 0.750
O4 0.250 0.750 0.500
O5 0.289 0.000 0.289
O6 0.289 0.289 0.000
O7 0.500 0.250 0.750
O8 0.500 0.750 0.250
O9 0.711 0.000 0.711
O10 0.711 0.711 0.000
O11 0.750 0.250 0.500
O12 0.750 0.500 0.250